A) A plane-wave DFT calculation with PBE was carried out for ZrSnAu3 after structural relaxation.

density = 10.2 Mg/m³

Cell lengths 5.068, 5.068, 5.068 Å; angles 90.00, 90.00, 90.00 degrees
Space group Pm-3m (No. 221)
One atom of each set of equivalent atoms:
Zr 0.000 0.000 0.000
Sn 0.500 0.500 0.500
Au 0.000 0.500 0.500

***

B) A plane-wave DFT calculation with PBE was carried out for ZrSnAu3 after structural relaxation.

density = 9.2 Mg/m³

Cell lengths 5.241, 5.241, 5.241 Å; angles 90.00, 90.00, 90.00 degrees
Space group Pm-3m (No. 221)
One atom of each set of equivalent atoms:
Zr 0.000 0.000 0.000
Sn 0.500 0.500 0.500
Au 0.000 0.000 0.500

***

Preferred: B); penalty for the next structure: 33 meV per atom.